# 1
Compound: Pb3Br2O2
Source: the Alexandria database
Functional: SCAN
Structure: single point on PBEsol structure

Unit cell a=12.173 b=5.875 c=9.787 alpha=90.00 beta=90.00 gamma=90.00
Space group Pnma (No. 62)
Asymmetric unit:
Pb (0.057, 0.250, 0.209)
Pb (0.080, 0.250, 0.578)
Pb (0.213, 0.750, 0.364)
Br (0.130, 0.750, 0.074)
Br (0.190, 0.750, 0.694)
O (0.077, 0.004, 0.388)

Summary:
Total DFT energy (no corrections), eV per atom: -40.961
Fermi-level density of states, states/eV per atom: 0.000
Spin magnetization, μB per cell: 0.00
Formation energy (no corrections), eV per formula unit: -8.00


# 2
Compound: TlPb8Br9O4
Source: the Alexandria database
Functional: SCAN
Structure: single point on PBEsol structure

Unit cell a=12.253 b=12.253 c=8.128 alpha=90.00 beta=90.00 gamma=90.00
Space group P4/n (No. 85, origin choice 2)
Asymmetric unit:
Tl (0.250, 0.250, 0.163)
Pb (0.016, 0.668, 0.329)
Pb (0.110, 0.693, 0.852)
Br (0.040, 0.133, 0.386)
Br (0.068, 0.133, 0.904)
Br (0.250, 0.750, 0.500)
O (0.141, 0.703, 0.130)

Summary:
Total DFT energy (no corrections), eV per atom: -41.023
Fermi-level density of states, states/eV per atom: 0.000
Spin magnetization, μB per cell: 0.00
Formation energy (no corrections), eV per formula unit: -23.84


# 3
Compound: PtBr3O
Source: the Alexandria database
Functional: SCAN
Structure: single point on PBEsol structure

Unit cell a=4.587 b=4.587 c=4.587 alpha=90.00 beta=90.00 gamma=90.00
Space group Pm-3m (No. 221)
Asymmetric unit:
Pt (0.000, 0.000, 0.000)
Br (0.000, 0.500, 0.500)
O (0.500, 0.500, 0.500)

Summary:
Total DFT energy (no corrections), eV per atom: -25.787
Fermi-level density of states, states/eV per atom: 0.873
Spin magnetization, μB per cell: 1.47
Formation energy (no corrections), eV per formula unit: 5.87


# 4
Compound: PtSe2BrO
Source: the Alexandria database
Functional: SCAN
Structure: single point on PBEsol structure

Unit cell a=4.832 b=4.832 c=5.166 alpha=90.00 beta=90.00 gamma=90.00
Space group P4/mmm (No. 123)
Asymmetric unit:
Pt (0.000, 0.000, 0.000)
Se (0.000, 0.500, 0.000)
Br (0.000, 0.000, 0.500)
O (0.500, 0.500, 0.500)

Summary:
Total DFT energy (no corrections), eV per atom: -26.401
Fermi-level density of states, states/eV per atom: 0.510
Spin magnetization, μB per cell: 0.27
Formation energy (no corrections), eV per formula unit: 4.04


# 5
Compound: PuBrO
Source: the Alexandria database
Functional: SCAN
Structure: single point on PBEsol structure

Unit cell a=3.879 b=3.879 c=7.891 alpha=90.00 beta=90.00 gamma=90.00
Space group P4/nmm (No. 129, origin choice 2)
Asymmetric unit:
Pu (0.250, 0.250, 0.151)
Br (0.250, 0.250, 0.654)
O (0.250, 0.750, 0.000)

Summary:
Total DFT energy (no corrections), eV per atom: -47.777
Fermi-level density of states, states/eV per atom: 2.018
Spin magnetization, μB per cell: 10.00
Formation energy (no corrections), eV per formula unit: -7.50


# 6
Compound: RbBrO3
Source: the Alexandria database
Functional: SCAN
Structure: single point on PBEsol structure

Unit cell a=4.044 b=4.044 c=4.044 alpha=90.00 beta=90.00 gamma=90.00
Space group Pm-3m (No. 221)
Asymmetric unit:
Rb (0.000, 0.000, 0.000)
Br (0.500, 0.500, 0.500)
O (0.000, 0.500, 0.500)

Summary:
Total DFT energy (no corrections), eV per atom: -11.943
Fermi-level density of states, states/eV per atom: 0.114
Spin magnetization, μB per cell: 0.00
Formation energy (no corrections), eV per formula unit: -0.82


# 7
Compound: RbBr2O2
Source: the Alexandria database
Functional: SCAN
Structure: single point on PBEsol structure

Unit cell a=4.625 b=4.625 c=10.947 alpha=90.00 beta=90.00 gamma=90.00
Space group I4/mmm (No. 139)
Asymmetric unit:
Rb (0.000, 0.000, 0.000)
Br (0.000, 0.000, 0.281)
O (0.000, 0.500, 0.250)

Summary:
Total DFT energy (no corrections), eV per atom: -14.384
Fermi-level density of states, states/eV per atom: 0.291
Spin magnetization, μB per cell: 0.00
Formation energy (no corrections), eV per formula unit: 0.20


# 8
Compound: Rb2ReBrO
Source: the Alexandria database
Functional: SCAN
Structure: single point on PBEsol structure

Unit cell a=6.139 b=6.139 c=3.783 alpha=90.00 beta=90.00 gamma=90.00
Space group P4/mmm (No. 123)
Asymmetric unit:
Rb (0.000, 0.500, 0.000)
Re (0.000, 0.000, 0.500)
Br (0.500, 0.500, 0.500)
O (0.000, 0.000, 0.000)

Summary:
Total DFT energy (no corrections), eV per atom: -28.353
Fermi-level density of states, states/eV per atom: 0.139
Spin magnetization, μB per cell: 2.00
Formation energy (no corrections), eV per formula unit: -3.50


# 9
Compound: Re2Br2O
Source: the Alexandria database
Functional: SCAN
Structure: single point on PBEsol structure

Unit cell a=3.544 b=3.544 c=14.281 alpha=90.00 beta=90.00 gamma=90.00
Space group I4/mmm (No. 139)
Asymmetric unit:
Re (0.000, 0.500, 0.250)
Br (0.000, 0.000, 0.103)
O (0.000, 0.000, 0.500)

Summary:
Total DFT energy (no corrections), eV per atom: -36.100
Fermi-level density of states, states/eV per atom: 0.989
Spin magnetization, μB per cell: 1.97
Formation energy (no corrections), eV per formula unit: 6.85


# 10
Compound: ReSeBr2O
Source: the Alexandria database
Functional: SCAN
Structure: single point on PBEsol structure

Unit cell a=5.038 b=5.038 c=4.679 alpha=90.00 beta=90.00 gamma=90.00
Space group P4/mmm (No. 123)
Asymmetric unit:
Re (0.000, 0.000, 0.000)
Se (0.000, 0.000, 0.500)
Br (0.000, 0.500, 0.000)
O (0.500, 0.500, 0.500)

Summary:
Total DFT energy (no corrections), eV per atom: -26.466
Fermi-level density of states, states/eV per atom: 1.047
Polymorph energy (0 for the lowest one), kJ per mole of atoms: 0.0
Spin magnetization, μB per cell: 0.05
Formation energy (no corrections), eV per formula unit: 3.99


# 11
Compound: ReSeBr2O
Source: the Alexandria database
Functional: SCAN
Structure: single point on PBEsol structure

Unit cell a=4.766 b=4.766 c=4.213 alpha=90.00 beta=90.00 gamma=90.00
Space group P4/mmm (No. 123)
Asymmetric unit:
Re (0.000, 0.000, 0.000)
Se (0.500, 0.500, 0.000)
Br (0.000, 0.500, 0.500)
O (0.500, 0.500, 0.500)

Summary:
Total DFT energy (no corrections), eV per atom: -25.801
Fermi-level density of states, states/eV per atom: 0.400
Polymorph energy (0 for the lowest one), kJ per mole of atoms: 64.2
Spin magnetization, μB per cell: 4.78
Formation energy (no corrections), eV per formula unit: 7.32


# 12
Compound: ReSe2BrO
Source: the Alexandria database
Functional: SCAN
Structure: single point on PBEsol structure

Unit cell a=4.702 b=4.702 c=5.251 alpha=90.00 beta=90.00 gamma=90.00
Space group P4/mmm (No. 123)
Asymmetric unit:
Re (0.000, 0.000, 0.000)
Se (0.000, 0.500, 0.000)
Br (0.000, 0.000, 0.500)
O (0.500, 0.500, 0.500)

Summary:
Total DFT energy (no corrections), eV per atom: -26.595
Fermi-level density of states, states/eV per atom: 0.578
Spin magnetization, μB per cell: 1.75
Formation energy (no corrections), eV per formula unit: 3.97


Q: What is the formation energy (no corrections) in the twelfth record?
A: 3.97 eV per formula unit


Q: Number 11 is which compound?
A: ReSeBr2O